RbV2AsO6 | PBE+U | optimized geometry

Unit cell a=7.6431 b=7.6431 c=6.1018 alpha=100.71 beta=100.71 gamma=90.38
Atoms (fractional coordinates):
Rb: 0.1393 0.8607 0.7500
Rb: 0.8607 0.1393 0.2500
V: 0.1471 0.3311 0.7965
V: 0.3311 0.1471 0.2965
V: 0.6689 0.8529 0.7035
V: 0.8529 0.6689 0.2035
As: 0.3234 0.6766 0.2500
As: 0.6766 0.3234 0.7500
O: 0.1019 0.6679 0.3094
O: 0.1905 0.2139 0.0503
O: 0.2139 0.1905 0.5503
O: 0.2292 0.5472 0.9040
O: 0.3321 0.8981 0.1906
O: 0.4528 0.7708 0.5960
O: 0.5472 0.2292 0.4040
O: 0.6679 0.1019 0.8094
O: 0.7708 0.4528 0.0960
O: 0.7861 0.8095 0.4497
O: 0.8095 0.7861 0.9497
O: 0.8981 0.3321 0.6906

Raw total energy, eV/atom: -6.724
M_tot, μB per formula unit: 2.000
SG: C2/c